DFT (GGA-PBE) results for a relaxed structure of ZnBRu2.

```
ZnBRu2
1.0
1.6395 -3.2384 1.8222
-0.3548 -0.4650 4.0192
-2.3965 -2.9141 1.5034
Ru Zn B
2 1 1
Cartesian
-0.2779 -1.6544 1.8362 Ru
-0.8338 -4.9632 5.5086 Ru
-0.5559 -3.3088 3.6724 Zn
0.0000 0.0000 0.0000 B
```

Properties
Space-group type: Fm-3m, No. 225
Formation energy in eV per formula unit: 1.24
Polymorph energy (0 for the lowest one) in meV per atom: 493
Total energy in eV per atom: -6.316
DOS(E_F) in states/eV per cell: 4.670